# 1
DFT (PBE) results for crystalline Pr3Dy7Tm2 at its relaxed geometry.

total magnetization = 0.0000 μB per atom
V = 34.7 Å³/atom
energy above the most stable polymorph in this dataset = 2.33 eV/f.u.
energy of formation = 0.283 eV/atom

The structure in CIF format:
```
data_Pr3Dy7Tm2
_chemical_formula_sum 'Pr3 Dy7 Tm2'
_cell_length_a 11.968
_cell_length_b 11.968
_cell_length_c 11.968
_cell_angle_alpha 31.52
_cell_angle_beta 31.52
_cell_angle_gamma 31.52
_symmetry_space_group_name_H-M 'P 1'
_symmetry_Int_Tables_number 1
loop_
_symmetry_equiv_pos_as_xyz
'x,y,z'
loop_
_atom_site_label
_atom_site_fract_x
_atom_site_fract_y
_atom_site_fract_z
Pr1 0.000 0.000 0.000
Pr2 0.156 0.156 0.156
Pr3 0.844 0.844 0.844
Dy1 0.082 0.584 0.584
Dy2 0.416 0.416 0.918
Dy3 0.416 0.918 0.416
Dy4 0.500 0.500 0.500
Dy5 0.584 0.082 0.584
Dy6 0.584 0.584 0.082
Dy7 0.918 0.416 0.416
Tm1 0.333 0.333 0.333
Tm2 0.667 0.667 0.667
```

***

# 2
DFT (PBE) results for crystalline Na3Nb2TcN6 at its relaxed geometry.

total magnetization = 0.1666 μB per atom
formation energy from raw total energies = -42.0 kJ per mole of atoms
V = 12.0 Å³/atom

The structure in CIF format:
```
data_Na3Nb2TcN6
_chemical_formula_sum 'Na3 Nb2 Tc1 N6'
_cell_length_a 5.381
_cell_length_b 5.381
_cell_length_c 5.996
_cell_angle_alpha 98.61
_cell_angle_beta 98.61
_cell_angle_gamma 119.99
_symmetry_space_group_name_H-M 'P 1'
_symmetry_Int_Tables_number 1
loop_
_symmetry_equiv_pos_as_xyz
'x,y,z'
loop_
_atom_site_label
_atom_site_fract_x
_atom_site_fract_y
_atom_site_fract_z
Na1 0.000 0.000 0.000
Na2 0.335 0.665 0.000
Na3 0.665 0.335 0.000
Nb1 0.167 0.833 0.500
Nb2 0.833 0.167 0.500
Tc1 0.500 0.500 0.500
N1 0.103 0.434 0.302
N2 0.235 0.235 0.697
N3 0.434 0.103 0.302
N4 0.566 0.897 0.698
N5 0.765 0.765 0.303
N6 0.897 0.566 0.698
```